GGA-PBEsol La2CuNiW, optimized geometry; DFT total energy = -29.87 eV/cell; energy of formation from the pure elements = 5.121 eV/f.u.
1.0
-4.0755 -0.9138 -0.7066
-0.7885 -0.5135 5.2120
-1.2100 5.1460 0.3239
Ni La W Cu
1 2 1 1
Direct
0.5000 0.0000 0.0000
0.0000 0.5000 0.0000
0.0000 0.0000 0.5000
0.5000 0.5000 0.5000
0.0000 0.0000 0.0000

GGA-PBEsol ZrAlSi2, optimized geometry; DFT total energy = -25.95 eV/cell; raw formation energy = -0.318 eV per atom
1.0
-1.0629 -2.2826 -1.3462
2.5081 1.0156 -3.7024
3.7378 -2.7835 1.7685
Zr Si Al
1 2 1
Direct
0.0000 0.0000 0.5082
0.5000 0.5000 0.7414
0.5000 0.0000 0.0037
0.5000 0.5000 0.2468

GGA-PBEsol Ir3Ru, optimized geometry; DFT total energy = -39.73 eV/cell; energy of formation from the pure elements = -0.092 eV/f.u.
1.0
2.6940 0.0000 0.0000
0.0000 4.6668 0.0022
-1.3470 -0.7750 4.4070
Ir Ru
3 1
Direct
0.2493 0.2478 0.4985
0.0000 0.5000 0.0000
0.7507 0.7522 0.5015
0.5000 0.0000 0.0000

GGA-PBEsol BaNiP, optimized geometry; DFT total energy = -13.92 eV/cell; energy of formation from the pure elements = 0.179 eV/f.u.
1.0
-1.5345 3.8200 1.4598
-1.0323 -1.8683 3.8036
5.0722 -0.0254 -1.1366
Ba P Ni
1 1 1
Direct
0.0073 0.0073 0.0146
0.3733 0.3733 0.7466
0.6194 0.6194 0.2388

GGA-PBEsol ZnCd2Cu, optimized geometry; DFT total energy = -7.98 eV/cell; energy of formation from the pure elements = 0.333 eV/f.u.
1.0
3.2542 0.0000 0.0000
0.0000 3.5528 0.0000
0.0000 0.0000 5.7236
Cu Cd Zn
1 2 1
Direct
0.5000 0.5000 0.0000
0.0000 0.0000 0.7564
0.0000 0.0000 0.2436
0.5000 0.5000 0.5000

GGA-PBEsol ReAgP2, optimized geometry; energy above the lowest structure with this stoichiometry = 0.000 eV/f.u.; DFT total energy = -28.37 eV/cell; energy of formation from the pure elements = -0.139 eV/f.u.
1.0
-0.0576 2.5035 1.6949
-2.6413 1.1134 0.9630
-0.3962 -3.0459 7.1827
P Re Ag
2 1 1
Direct
0.7598 0.7598 0.7205
0.2402 0.2402 0.2795
0.5000 0.5000 0.5000
0.0000 0.0000 0.0000

Q: Which formula does entry 6 have?
A: ReAgP2

Q: DFT total energy of number 6 (ReAgP2)?
A: -28.37 eV/cell